Record 1
This record from Alexandria describes a relaxed ZnReAu2 crystal. The functional is GGA-PBEsol.

Results
- Space group: P4/mmm, No. 123
- Final energy: -5.246 eV per atom
- Calculated formation energy: 445 meV/atom

a = 4.180 Å, b = 3.847 Å, c = 3.847 Å
α = 90.00°, β = 90.00°, γ = 90.00°
Element x y z (fractional)
1 Au 0.000 0.000 0.500
2 Au 0.000 0.500 0.000
3 Re 0.500 0.500 0.500
4 Zn 0.500 0.000 0.000



Record 2
This record from Alexandria describes a relaxed Zn2ReAu crystal. The functional is GGA-PBEsol.

Results
- Space group: I-4m2, No. 119
- ΔE to the lowest computed polymorph: 271 meV/atom
- Final energy: -4.738 eV per atom
- Calculated formation energy: 367 meV/atom

a = 3.708 Å, b = 3.708 Å, c = 4.998 Å
α = 111.77°, β = 111.77°, γ = 90.00°
Element x y z (fractional)
1 Au 0.500 0.500 0.000
2 Re 0.250 0.750 0.500
3 Zn 0.000 0.000 0.000
4 Zn 0.750 0.250 0.500



Question: The lowest calculated formation energy belongs to which entry?
Answer: Zn2ReAu